Record 1
A plane-wave DFT calculation with PBE was carried out for a relaxed Tb3Th2Os2 crystal.

Values from the calculation:
* DOS(E_F): 1.0590 states/eV/atom
* calculated total energy: -52.856 eV per cell
* calculated volume: 190 Å³/f.u.
* ρ: 11.5 g/cm3
* ΔE_f: -0.2380 eV per atom

Cell: 6.4757 6.4757 8.3494 Å, 109.69 109.69 35.54°
Closest atoms and distances in Å follow each position.
Positions (direct):
Tb  0.0000  0.0000  0.0000  4 Os 3.04, 2 Tb 3.32
Tb  0.1259  0.1259  0.4235  3 Os 2.96-3.17
Tb  0.8741  0.8741  0.5765  3 Os 2.96-3.17
Th  0.3389  0.3389  0.1908  2 Os 2.77
Th  0.6611  0.6611  0.8092  2 Os 2.77
Os  0.3155  0.3155  0.7968  2 Th 2.77, 4 Tb 2.96-3.04
Os  0.6845  0.6845  0.2032  2 Th 2.77, 4 Tb 2.96-3.04

Record 2
A plane-wave DFT calculation with PBE was carried out for a relaxed K2SrCo crystal.

Values from the calculation:
* relative energy among the computed polymorphs: 0.236 eV/atom
* DOS(E_F): 2.0843 states/eV/atom
* calculated total energy: -7.916 eV per cell
* calculated volume: 154 Å³/f.u.
* ρ: 2.4 g/cm3
* ΔE_f: 0.7668 eV per atom

Cell: 6.0137 6.0137 6.0137 Å, 60.00 60.00 60.00°
Closest atoms and distances in Å follow each position.
Positions (direct):
K  0.0000  0.0000  0.0000  4 K 3.68, 4 Sr 3.68
K  0.2500  0.2500  0.2500  4 Co 3.68, 4 K 3.68
Sr  0.7500  0.7500  0.7500  4 Co 3.68, 4 K 3.68
Co  0.5000  0.5000  0.5000  4 K 3.68, 4 Sr 3.68

Record 3
A plane-wave DFT calculation with PBE was carried out for a relaxed Pm5SnBi crystal.

Values from the calculation:
* DOS(E_F): 1.1275 states/eV/atom
* calculated total energy: -67.386 eV per cell
* calculated volume: 229 Å³/f.u.
* ρ: 7.6 g/cm3
* ΔE_f: -0.2937 eV per atom

Cell: 6.5633 6.5633 13.1014 Å, 107.21 107.21 59.69°
Closest atoms and distances in Å follow each position.
Positions (direct):
Pm  0.1291  0.6959  0.0011  1 Bi 3.08
Pm  0.2378  0.2739  0.2800  5 Pm 3.17-3.45, 1 Sn 3.28, 2 Bi 3.28-3.34
Pm  0.2460  0.7540  0.7500  4 Pm 3.17-3.43, 2 Bi 3.24-3.30, 2 Sn 3.53
Pm  0.2739  0.2378  0.7800  5 Pm 3.17-3.45, 1 Sn 3.28, 2 Bi 3.28-3.34
Pm  0.3041  0.8709  0.4989  1 Bi 3.08
Pm  0.6959  0.1291  0.5011  1 Bi 3.08
Pm  0.7261  0.7622  0.2200  5 Pm 3.17-3.45, 1 Sn 3.28, 2 Bi 3.28-3.34
Pm  0.7540  0.2460  0.2500  4 Pm 3.17-3.43, 2 Bi 3.24-3.30, 2 Sn 3.53
Pm  0.7622  0.7261  0.7200  5 Pm 3.17-3.45, 1 Sn 3.28, 2 Bi 3.28-3.34
Pm  0.8709  0.3041  0.9989  1 Bi 3.08
Sn  0.0000  0.5000  0.5000  6 Pm 3.28-3.56
Sn  0.5000  0.0000  0.0000  6 Pm 3.28-3.56
Bi  0.2587  0.7413  0.2500  8 Pm 3.08-3.34
Bi  0.7413  0.2587  0.7500  8 Pm 3.08-3.34

Record 4
A plane-wave DFT calculation with PBE was carried out for a relaxed Sm2AlRe crystal.

Values from the calculation:
* DOS(E_F): 1.1915 states/eV/atom
* calculated total energy: -22.814 eV per cell
* calculated volume: 91 Å³/f.u.
* ρ: 9.4 g/cm3
* ΔE_f: 0.7038 eV per atom

Cell: 11.1794 11.1794 11.1794 Å, 15.85 15.85 15.85°
Closest atoms and distances in Å follow each position.
Positions (direct):
Sm  0.0857  0.0857  0.0857  1 Re 2.84, 6 Sm 3.08
Sm  0.9143  0.9143  0.9143  1 Re 2.84, 6 Sm 3.08
Al  0.5000  0.5000  0.5000  6 Al 3.08, 6 Sm 3.22
Re  0.0000  0.0000  0.0000  2 Sm 2.84, 6 Re 3.08